Tb2ErGaC: relaxed, PBE. Values from VASP.

The structure in Quantum ESPRESSO input format:
```
&SYSTEM
  ibrav = 0, nat = 5, ntyp = 4
/
ATOMIC_SPECIES
Tb 158.93 Tb.upf
Er 167.26 Er.upf
Ga 69.72 Ga.upf
C 12.01 C.upf
ATOMIC_POSITIONS angstrom
Tb 0.0000 2.4460 0.0000
Tb 2.4460 0.0000 0.0000
Er 0.0000 0.0000 2.4022
Ga 2.4460 2.4460 2.4022
C 0.0000 0.0000 0.0000
CELL_PARAMETERS angstrom
4.8921 0.0000 0.0000
0.0000 4.8921 0.0000
0.0000 0.0000 4.8043
```

**Density of states at the Fermi level**: 0.38 states/eV/atom
**Calculated formation energy**: -445 meV per atom
**VASP energy**: -28.3 eV for the cell shown